VASP calculation (PBE-GGA) on a relaxed structure of BaAsRu2.

```
BaAsRu2
1.0
-1.8476 2.8990 4.1251
1.8476 -2.8990 4.1251
1.8476 2.8990 -4.1251
Ba As Ru
1 1 2
Cartesian
0.0000 0.0000 0.0000 Ba
0.0000 0.0000 4.1251 As
1.8476 0.0000 2.6094 Ru
0.0000 2.8990 1.5157 Ru
```

Calculated values
crystal system = orthorhombic
Fermi-level density of states = 1.615 states/eV/atom
ΔH_f (0 K) = 0.4657 eV/atom
electronic total energy = -23.3 eV/cell
volume = 88 Å³/cell
M_tot = 0.0 μB per formula unit